An optimized crystal structure of Sc2InOsC. Source: Alexandria via LeMat-Bulk, functional PBE-GGA.

Unit cell a=4.615 b=4.615 c=3.959 alpha=90.00 beta=90.00 gamma=90.00
Atoms (fractional coordinates):
Sc1 0.000 0.500 0.000
Sc2 0.500 0.000 0.000
In1 0.000 0.000 0.500
Os1 0.500 0.500 0.500
C1 0.500 0.500 0.000

Computed properties:
Space group = P4/mmm
Formation enthalpy at 0 K = -0.467 eV/atom


An optimized crystal structure of BC2. Source: Alexandria via LeMat-Bulk, functional PBE-GGA.

Unit cell a=3.719 b=4.650 c=5.187 alpha=70.05 beta=89.12 gamma=66.79
Atoms (fractional coordinates):
B1 0.000 0.000 0.000
B2 0.013 0.028 0.554
B3 0.058 0.379 0.948
B4 0.667 0.047 0.247
C1 0.059 0.374 0.440
C2 0.301 0.379 0.201
C3 0.312 0.352 0.687
C4 0.400 0.682 0.606
C5 0.406 0.685 0.108
C6 0.631 0.695 0.854
C7 0.647 0.682 0.355
C8 0.695 0.024 0.764

Computed properties:
Space group = P1
Formation enthalpy at 0 K = 0.358 eV/atom
Offset from the most stable computed form = 11.4 kJ per mole of atoms


An optimized crystal structure of LiAc2Pd4. Source: Alexandria via LeMat-Bulk, functional PBE-GGA.

Unit cell a=5.351 b=15.217 c=4.346 alpha=90.00 beta=90.00 gamma=90.00
Atoms (fractional coordinates):
Li1 0.000 0.000 0.000
Li2 0.500 0.500 0.000
Ac1 0.000 0.344 0.500
Ac2 0.000 0.656 0.500
Ac3 0.500 0.156 0.500
Ac4 0.500 0.844 0.500
Pd1 0.000 0.088 0.500
Pd2 0.000 0.200 0.000
Pd3 0.000 0.800 0.000
Pd4 0.000 0.912 0.500
Pd5 0.500 0.300 0.000
Pd6 0.500 0.412 0.500
Pd7 0.500 0.588 0.500
Pd8 0.500 0.700 0.000

Computed properties:
Space group = Cmmm
Formation enthalpy at 0 K = -0.537 eV/atom
Offset from the most stable computed form = 4.1 kJ per mole of atoms


An optimized crystal structure of CuHPd3. Source: Alexandria via LeMat-Bulk, functional PBE-GGA.

Unit cell a=7.002 b=7.002 c=6.628 alpha=94.48 beta=94.48 gamma=23.08
Atoms (fractional coordinates):
Cu1 0.093 0.093 0.050
Cu2 0.907 0.907 0.950
H1 0.287 0.287 0.427
H2 0.713 0.713 0.573
Pd1 0.145 0.145 0.457
Pd2 0.286 0.286 0.163
Pd3 0.483 0.483 0.281
Pd4 0.517 0.517 0.719
Pd5 0.714 0.714 0.837
Pd6 0.855 0.855 0.543

Computed properties:
Space group = C2/m
Offset from the most stable computed form = 6.2 kJ per mole of atoms


An optimized crystal structure of K2ZrAl. Source: Alexandria via LeMat-Bulk, functional PBE-GGA.

Unit cell a=3.124 b=6.279 c=6.309 alpha=90.00 beta=90.00 gamma=90.00
Atoms (fractional coordinates):
K1 0.000 0.000 0.242
K2 0.000 0.000 0.758
Zr1 0.500 0.500 0.500
Al1 0.500 0.500 0.000

Computed properties:
Space group = Pmmm
Formation enthalpy at 0 K = 0.760 eV/atom


An optimized crystal structure of LiPa3O8. Source: Alexandria via LeMat-Bulk, functional PBE-GGA.

Unit cell a=5.345 b=5.345 c=5.345 alpha=90.00 beta=90.00 gamma=90.00
Atoms (fractional coordinates):
Li1 0.000 0.000 0.000
Pa1 0.000 0.500 0.500
Pa2 0.500 0.000 0.500
Pa3 0.500 0.500 0.000
O1 0.257 0.257 0.257
O2 0.257 0.257 0.743
O3 0.257 0.743 0.257
O4 0.257 0.743 0.743
O5 0.743 0.257 0.257
O6 0.743 0.257 0.743
O7 0.743 0.743 0.257
O8 0.743 0.743 0.743

Computed properties:
Space group = Pm-3m
E_form (uncorrected) = -3.45 eV/atom


An optimized crystal structure of ZrTiBr3. Source: Alexandria via LeMat-Bulk, functional PBE-GGA.

Unit cell a=5.173 b=5.173 c=5.173 alpha=90.00 beta=90.00 gamma=90.00
Atoms (fractional coordinates):
Zr1 0.000 0.000 0.000
Ti1 0.500 0.500 0.500
Br1 0.000 0.500 0.500
Br2 0.500 0.000 0.500
Br3 0.500 0.500 0.000

Computed properties:
Space group = Pm-3m
E_form (uncorrected) = -0.04 eV/atom
Offset from the most stable computed form = 95.6 kJ per mole of atoms


An optimized crystal structure of KZnCo2Sn. Source: Alexandria via LeMat-Bulk, functional PBE-GGA.

Unit cell a=4.913 b=4.913 c=6.398 alpha=90.00 beta=90.00 gamma=90.00
Atoms (fractional coordinates):
K1 0.000 0.000 0.000
Zn1 0.500 0.500 0.000
Co1 0.000 0.500 0.500
Co2 0.500 0.000 0.500
Sn1 0.000 0.000 0.500

Computed properties:
Space group = P4/mmm
Formation enthalpy at 0 K = 1.053 eV/atom
Offset from the most stable computed form = 15.2 kJ per mole of atoms


An optimized crystal structure of Pb4S2Br3. Source: Alexandria via LeMat-Bulk, functional PBE-GGA.

Unit cell a=7.902 b=7.902 c=11.277 alpha=110.96 beta=110.96 gamma=72.28
Atoms (fractional coordinates):
Pb1 0.120 0.715 0.564
Pb2 0.242 0.410 0.879
Pb3 0.285 0.880 0.936
Pb4 0.410 0.242 0.379
Pb5 0.590 0.758 0.621
Pb6 0.715 0.120 0.064
Pb7 0.758 0.590 0.121
Pb8 0.880 0.285 0.436
S1 0.034 0.456 0.331
S2 0.456 0.034 0.831
S3 0.544 0.966 0.169
S4 0.966 0.544 0.669
Br1 0.002 0.237 0.955
Br2 0.237 0.002 0.455
Br3 0.495 0.505 0.750
Br4 0.505 0.495 0.250
Br5 0.763 0.998 0.545
Br6 0.998 0.763 0.045

Computed properties:
Space group = C2/c
E_form (uncorrected) = -0.56 eV/atom


An optimized crystal structure of ZrAsPd. Source: Alexandria via LeMat-Bulk, functional PBE-GGA.

Unit cell a=6.843 b=3.951 c=11.687 alpha=90.00 beta=91.08 gamma=90.00
Atoms (fractional coordinates):
Zr1 0.034 0.250 0.114
Zr2 0.166 0.250 0.420
Zr3 0.452 0.750 0.789
Zr4 0.548 0.250 0.211
Zr5 0.834 0.750 0.580
Zr6 0.966 0.750 0.886
As1 0.244 0.750 0.586
As2 0.246 0.750 0.250
As3 0.255 0.250 0.909
As4 0.745 0.750 0.091
As5 0.754 0.250 0.750
As6 0.756 0.250 0.414
Pd1 0.107 0.250 0.700
Pd2 0.352 0.750 0.043
Pd3 0.500 0.250 0.589
Pd4 0.500 0.750 0.411
Pd5 0.648 0.250 0.957
Pd6 0.893 0.750 0.300

Computed properties:
Space group = P2_1/m
Formation enthalpy at 0 K = -0.915 eV/atom


An optimized crystal structure of Na12Tl6In. Source: Alexandria via LeMat-Bulk, functional PBE-GGA.

Unit cell a=8.327 b=8.327 c=8.327 alpha=89.12 beta=89.12 gamma=89.12
Atoms (fractional coordinates):
Na1 0.028 0.309 0.927
Na2 0.073 0.972 0.691
Na3 0.125 0.355 0.466
Na4 0.309 0.927 0.028
Na5 0.355 0.466 0.125
Na6 0.466 0.125 0.355
Na7 0.534 0.875 0.645
Na8 0.645 0.534 0.875
Na9 0.691 0.073 0.972
Na10 0.875 0.645 0.534
Na11 0.927 0.028 0.309
Na12 0.972 0.691 0.073
Tl1 0.228 0.758 0.383
Tl2 0.242 0.617 0.772
Tl3 0.383 0.228 0.758
Tl4 0.617 0.772 0.242
Tl5 0.758 0.383 0.228
Tl6 0.772 0.242 0.617
In1 0.500 0.500 0.500

Computed properties:
Space group = R-3
Formation enthalpy at 0 K = -0.089 eV/atom


An optimized crystal structure of ZrScSe2. Source: Alexandria via LeMat-Bulk, functional PBE-GGA.

Unit cell a=3.658 b=3.658 c=6.487 alpha=90.00 beta=90.00 gamma=90.00
Atoms (fractional coordinates):
Zr1 0.000 0.000 0.000
Sc1 0.500 0.500 0.301
Se1 0.000 0.000 0.431
Se2 0.500 0.500 0.856

Computed properties:
Space group = P4mm
E_form (uncorrected) = -1.39 eV/atom
Offset from the most stable computed form = 2.3 kJ per mole of atoms


An optimized crystal structure of Na2MgIn3. Source: Alexandria via LeMat-Bulk, functional PBE-GGA.

Unit cell a=7.412 b=7.412 c=9.591 alpha=90.00 beta=90.00 gamma=144.51
Atoms (fractional coordinates):
Na1 0.000 0.000 0.000
Na2 0.000 0.000 0.500
Na3 0.333 0.667 0.000
Na4 0.667 0.333 0.000
Mg1 0.330 0.670 0.500
Mg2 0.670 0.330 0.500
In1 0.168 0.832 0.263
In2 0.168 0.832 0.737
In3 0.500 0.500 0.261
In4 0.500 0.500 0.739
In5 0.832 0.168 0.263
In6 0.832 0.168 0.737

Computed properties:
Space group = Cmmm
Formation enthalpy at 0 K = -0.104 eV/atom
Offset from the most stable computed form = 0.0 kJ per mole of atoms


An optimized crystal structure of CaTl3. Source: Alexandria via LeMat-Bulk, functional PBE-GGA.

Unit cell a=3.981 b=3.981 c=7.543 alpha=90.00 beta=90.00 gamma=90.00
Atoms (fractional coordinates):
Ca1 0.000 0.000 0.000
Tl1 0.000 0.000 0.500
Tl2 0.500 0.500 0.254
Tl3 0.500 0.500 0.746

Computed properties:
Space group = P4/mmm
Formation enthalpy at 0 K = -0.191 eV/atom


An optimized crystal structure of Mn2GeW. Source: Alexandria via LeMat-Bulk, functional PBE-GGA.

Unit cell a=3.003 b=3.003 c=5.701 alpha=90.00 beta=90.00 gamma=90.00
Atoms (fractional coordinates):
Mn1 0.000 0.000 0.245
Mn2 0.000 0.000 0.755
Ge1 0.500 0.500 0.000
W1 0.500 0.500 0.500

Computed properties:
Space group = P4/mmm
Formation enthalpy at 0 K = -0.016 eV/atom


An optimized crystal structure of LiTcRu2. Source: Alexandria via LeMat-Bulk, functional PBE-GGA.

Unit cell a=2.719 b=2.719 c=27.002 alpha=90.00 beta=90.00 gamma=120.00
Atoms (fractional coordinates):
Li1 0.000 0.000 0.000
Li2 0.333 0.667 0.667
Li3 0.667 0.333 0.333
Tc1 0.000 0.000 0.757
Tc2 0.333 0.667 0.423
Tc3 0.667 0.333 0.090
Ru1 0.000 0.000 0.248
Ru2 0.000 0.000 0.502
Ru3 0.333 0.667 0.168
Ru4 0.333 0.667 0.915
Ru5 0.667 0.333 0.581
Ru6 0.667 0.333 0.835

Computed properties:
Space group = R3m
Formation enthalpy at 0 K = 0.189 eV/atom
Offset from the most stable computed form = 8.8 kJ per mole of atoms


An optimized crystal structure of BaErMo2N6. Source: Alexandria via LeMat-Bulk, functional PBE-GGA.

Unit cell a=7.793 b=7.793 c=6.615 alpha=105.98 beta=105.98 gamma=88.50
Atoms (fractional coordinates):
Ba1 0.099 0.901 0.750
Ba2 0.901 0.099 0.250
Er1 0.287 0.713 0.250
Er2 0.713 0.287 0.750
Mo1 0.219 0.376 0.830
Mo2 0.376 0.219 0.330
Mo3 0.624 0.781 0.670
Mo4 0.781 0.624 0.170
N1 0.002 0.742 0.297
N2 0.189 0.609 0.873
N3 0.258 0.998 0.203
N4 0.302 0.374 0.134
N5 0.374 0.302 0.634
N6 0.391 0.811 0.627
N7 0.609 0.189 0.373
N8 0.626 0.698 0.366
N9 0.698 0.626 0.866
N10 0.742 0.002 0.797
N11 0.811 0.391 0.127
N12 0.998 0.258 0.703

Computed properties:
Space group = C2/c
E_form (uncorrected) = -0.55 eV/atom


An optimized crystal structure of Ba3Ir2O9. Source: Alexandria via LeMat-Bulk, functional PBE-GGA.

Unit cell a=7.573 b=7.573 c=7.573 alpha=84.45 beta=84.45 gamma=84.45
Atoms (fractional coordinates):
Ba1 0.086 0.750 0.414
Ba2 0.250 0.586 0.914
Ba3 0.414 0.086 0.750
Ba4 0.586 0.914 0.250
Ba5 0.750 0.414 0.086
Ba6 0.914 0.250 0.586
Ir1 0.152 0.152 0.152
Ir2 0.348 0.348 0.348
Ir3 0.652 0.652 0.652
Ir4 0.848 0.848 0.848
O1 0.073 0.911 0.746
O2 0.089 0.254 0.927
O3 0.100 0.400 0.250
O4 0.246 0.411 0.573
O5 0.250 0.100 0.400
O6 0.254 0.927 0.089
O7 0.400 0.250 0.100
O8 0.411 0.573 0.246
O9 0.427 0.754 0.589
O10 0.573 0.246 0.411
O11 0.589 0.427 0.754
O12 0.600 0.750 0.900
O13 0.746 0.073 0.911
O14 0.750 0.900 0.600
O15 0.754 0.589 0.427
O16 0.900 0.600 0.750
O17 0.911 0.746 0.073
O18 0.927 0.089 0.254

Computed properties:
Space group = R-3c
E_form (uncorrected) = -1.65 eV/atom


An optimized crystal structure of TmZn3Ge. Source: Alexandria via LeMat-Bulk, functional PBE-GGA.

Unit cell a=6.180 b=6.178 c=4.036 alpha=70.96 beta=70.91 gamma=38.12
Atoms (fractional coordinates):
Tm1 0.000 0.000 0.000
Zn1 0.246 0.246 0.254
Zn2 0.380 0.380 0.620
Zn3 0.746 0.746 0.754
Ge1 0.599 0.599 0.401

Computed properties:
Space group = Fmm2
Formation enthalpy at 0 K = -0.369 eV/atom